The following is a DFT calculation (PBE+U) of a relaxed structure of Cr2Ag3F9.

a = 9.7670 Å, b = 9.7670 Å, c = 14.0647 Å
α = 90.00°, β = 90.00°, γ = 120.00°
Space group R-3c (No. 167, hexagonal axes)
Unique sites:
Cr 0.0000 0.0000 0.1516 x12
Ag 0.0000 0.3533 0.2500 x18
F 0.0000 0.1508 0.7500 x18
F 0.0077 0.1735 0.4131 x36

Summary:
For the uncorrected energy, the calculation gives -0.1757 hartree per atom.